# Zn

A relaxed Zn crystal (PBE, the Alexandria database).

Cell lengths 2.8689, 2.8871, 6.8630 Å; angles 96.11, 94.27, 125.13 degrees
Fractional positions:
Zn1 0.2453 0.4161 0.6639
Zn2 0.0000 0.0000 0.0000
Zn3 0.7547 0.5839 0.3361

Results
Energy above the most stable polymorph in this dataset ... 0.014 eV/atom
ΔE_f ... 1 kJ/mol of formula units
E_tot ... -1.260 eV per atom
Space-group type ... P-1 (2)


# CaGeC

A relaxed CaGeC crystal (PBE, the Alexandria database).

Cell lengths 3.9527, 4.0893, 8.5648 Å; angles 101.33, 90.00, 118.90 degrees
Fractional positions:
Ge1 0.3181 0.6363 0.4376
Ge2 0.6819 0.3637 0.5624
Ca1 0.9253 0.8506 0.1978
Ca2 0.0747 0.1494 0.8022
C1 0.4169 0.8338 0.9542
C2 0.5831 0.1662 0.0458

Results
ΔE_f ... -65 kJ/mol of formula units
E_tot ... -5.505 eV per atom
Space-group type ... C2/m (12)


# Tl2MoH

A relaxed Tl2MoH crystal (PBE, the Alexandria database).

Cell lengths 6.9341, 6.9341, 5.6963 Å; angles 52.51, 52.51, 90.00 degrees
Fractional positions:
Tl1 0.1970 0.6250 0.2500
Tl2 0.5530 0.1250 0.2500
Tl3 0.8750 0.8030 0.7500
Tl4 0.3750 0.4470 0.7500
H1 0.5000 0.5000 0.0000
H2 0.2500 0.7500 0.5000
Mo1 0.7500 0.2500 0.5000
Mo2 0.0000 0.0000 0.0000

Results
Energy above the most stable polymorph in this dataset ... 0.000 eV/atom
E_tot ... -3.784 eV per atom
Space-group type ... I-42d (122)


# SrHg2W

A relaxed SrHg2W crystal (PBE, the Alexandria database).

Cell lengths 6.3287, 6.3287, 6.3287 Å; angles 150.90, 130.07, 58.83 degrees
Fractional positions:
Hg1 0.7617 0.2617 0.5000
Hg2 0.0170 0.0170 0.0000
W1 0.2313 0.7313 0.5000
Sr1 0.4900 0.4900 0.0000

Results
Energy above the most stable polymorph in this dataset ... 0.179 eV/atom
ΔE_f ... 273 kJ/mol of formula units
E_tot ... -3.101 eV per atom
Space-group type ... Imm2 (44)


# ZnSbMo

A relaxed ZnSbMo crystal (PBE, the Alexandria database).

Cell lengths 5.2490, 6.6850, 7.1593 Å; angles 90.00, 90.00, 113.12 degrees
Fractional positions:
Zn1 0.6818 0.8636 0.7500
Zn2 0.1818 0.8636 0.7500
Zn3 0.3182 0.1364 0.2500
Zn4 0.8182 0.1364 0.2500
Sb1 0.8200 0.6400 0.4487
Sb2 0.3200 0.6400 0.0513
Sb3 0.6800 0.3600 0.9487
Sb4 0.1800 0.3600 0.5513
Mo1 0.0949 0.1897 0.9212
Mo2 0.9051 0.8103 0.0788
Mo3 0.5949 0.1897 0.5788
Mo4 0.4051 0.8103 0.4212

Results
Energy above the most stable polymorph in this dataset ... 0.000 eV/atom
E_tot ... -5.327 eV per atom
Space-group type ... Cmce (64)
Formation energy from raw total energies ... 0.082 eV/atom


# PmSm2Mg3

A relaxed PmSm2Mg3 crystal (PBE, the Alexandria database).

Cell lengths 3.8531, 3.8531, 11.5658 Å; angles 90.00, 90.00, 90.00 degrees
Fractional positions:
Sm1 0.5000 0.5000 0.8342
Sm2 0.5000 0.5000 0.1658
Pm1 0.5000 0.5000 0.5000
Mg1 0.0000 0.0000 0.0000
Mg2 0.0000 0.0000 0.3318
Mg3 0.0000 0.0000 0.6682

Results
ΔE_f ... -60 kJ/mol of formula units
E_tot ... -3.265 eV per atom
Space-group type ... P4/mmm (123)


# K2PtW

A relaxed K2PtW crystal (PBE, the Alexandria database).

Cell lengths 2.8358, 2.8358, 11.6386 Å; angles 90.00, 90.00, 113.77 degrees
Fractional positions:
K1 0.0000 0.0000 0.4817
K2 0.0000 0.0000 0.0183
Pt1 0.5000 0.5000 0.2500
W1 0.5000 0.5000 0.7500

Results
Energy above the most stable polymorph in this dataset ... 0.405 eV/atom
ΔE_f ... 359 kJ/mol of formula units
E_tot ... -4.368 eV per atom
Space-group type ... Cmmm (65)


# Ba4LaCe3O12

A relaxed Ba4LaCe3O12 crystal (PBE, the Alexandria database).

Cell lengths 7.7998, 7.7998, 7.7998 Å; angles 109.47, 109.47, 109.47 degrees
Fractional positions:
Ba1 0.0000 0.0000 0.5000
Ba2 0.5000 0.5000 0.5000
Ba3 0.0000 0.5000 0.0000
Ba4 0.5000 0.0000 0.0000
O1 0.0000 0.7419 0.7419
O2 0.7500 0.5000 0.2500
O3 0.7419 0.0000 0.7419
O4 0.2500 0.7500 0.5000
O5 0.7500 0.2500 0.5000
O6 0.5000 0.2500 0.7500
O7 0.0000 0.2581 0.2581
O8 0.2581 0.0000 0.2581
O9 0.2581 0.2581 0.0000
O10 0.2500 0.5000 0.7500
O11 0.7419 0.7419 0.0000
O12 0.5000 0.7500 0.2500
Ce1 0.0000 0.5000 0.5000
Ce2 0.5000 0.0000 0.5000
Ce3 0.5000 0.5000 0.0000
La1 0.0000 0.0000 0.0000

Results
E_tot ... -7.484 eV per atom
Space-group type ... Im-3m (229)
Formation energy from raw total energies ... -2.988 eV/atom